(1)
SrNbAlMo2 after structural relaxation. Source: Alexandria via LeMat-Bulk, functional PBE-GGA.

The structure belongs to space group P4/mmm (No. 123); the cell edges are 4.699, 4.699 and 5.207 Å and the angles 90.00°, 90.00° and 90.00°. The asymmetric unit holds Sr at (0.000, 0.000, 0.000), Nb at (0.500, 0.500, 0.000), Al at (0.000, 0.000, 0.500) and Mo at (0.000, 0.500, 0.500).

For the formation energy from the elements, the calculation gives 833.2 kJ/mol of formula units. As for the crystal system: tetragonal. As for the volume: 23.00 A^3/atom. The value obtained for the total DFT energy (no corrections) is -5.704 eV per atom.

(2)
Sr2TlAg after structural relaxation. Source: Alexandria via LeMat-Bulk, functional PBE-GGA.

The structure belongs to space group Imm2 (No. 44); the cell edges are 3.947, 5.579 and 11.910 Å and the angles 90.00°, 90.00° and 90.00°. The asymmetric unit holds Sr at (0.000, 0.000, 0.000), Sr at (0.000, 0.500, 0.206), Tl at (0.000, 0.500, 0.775) and Ag at (0.000, 0.000, 0.468).

For the formation energy from the elements, the calculation gives -92.1 kJ/mol of formula units. As for the crystal system: orthorhombic. As for the volume: 32.79 A^3/atom. The value obtained for the total DFT energy (no corrections) is -2.384 eV per atom.

(3)
BaAgO2 after structural relaxation. Source: Alexandria via LeMat-Bulk, functional PBE-GGA.

The structure belongs to space group C2/m (No. 12); the cell edges are 7.770, 9.871 and 3.877 Å and the angles 90.00°, 90.75° and 90.00°. The asymmetric unit holds Ba at (0.250, 0.250, 0.000), Ag at (0.000, 0.000, 0.500), Ag at (0.000, 0.500, 0.500), O at (0.000, 0.211, 0.500) and O at (0.249, 0.500, 0.295).

As for the crystal system: monoclinic. As for the volume: 18.58 A^3/atom. The value obtained for the total DFT energy (no corrections) is -5.035 eV per atom. For the raw formation energy, the calculation gives -31.43 kcal/mol of atoms.

(4)
LaTb2Y6Er after structural relaxation. Source: Alexandria via LeMat-Bulk, functional PBE-GGA.

The structure belongs to space group C2/c (No. 15); the cell edges are 9.186, 15.096 and 9.581 Å and the angles 90.00°, 96.67° and 90.00°. The asymmetric unit holds La at (0.000, 0.028, 0.250), Tb at (0.249, 0.448, 0.450), Y at (0.063, 0.186, 0.942), Y at (0.098, 0.391, 0.115), Y at (0.213, 0.225, 0.317) and Er at (0.000, 0.411, 0.750).

For the formation energy from the elements, the calculation gives 113.8 kJ/mol of formula units. As for the crystal system: monoclinic. As for the volume: 32.99 A^3/atom. The value obtained for the total DFT energy (no corrections) is -5.636 eV per atom.